1.
VASP calculation (GGA-PBE) on an optimized crystal structure of TiB3Br.

- distance to the lowest polymorph of the same formula (eV/atom) = 0.3937
- total energy (eV/f.u.) = -18.18
- symmetry = Pm-3m

Unit cell a=4.0816 b=4.0816 c=4.0816 alpha=90.00 beta=90.00 gamma=90.00
Atoms (fractional coordinates):
Ti 0.0000 0.0000 0.0000
B 0.0000 0.5000 0.5000
B 0.5000 0.0000 0.5000
B 0.5000 0.5000 0.0000
Br 0.5000 0.5000 0.5000


2.
VASP calculation (GGA-PBE) on an optimized crystal structure of TiBBr2.

- distance to the lowest polymorph of the same formula (eV/atom) = 0.3316
- total energy (eV/f.u.) = -15.91
- symmetry = R-3m

Unit cell a=3.3579 b=3.3579 c=27.1063 alpha=90.00 beta=90.00 gamma=120.00
Atoms (fractional coordinates):
Ti 0.0000 0.0000 0.0000
Ti 0.3333 0.6667 0.6667
Ti 0.6667 0.3333 0.3333
B 0.0000 0.0000 0.5000
B 0.3333 0.6667 0.1667
B 0.6667 0.3333 0.8333
Br 0.0000 0.0000 0.3981
Br 0.0000 0.0000 0.6019
Br 0.3333 0.6667 0.0647
Br 0.3333 0.6667 0.2686
Br 0.6667 0.3333 0.7314
Br 0.6667 0.3333 0.9353


3.
VASP calculation (GGA-PBE) on an optimized crystal structure of TiBBr2.

- distance to the lowest polymorph of the same formula (eV/atom) = 0.0000
- total energy (eV/f.u.) = -17.24
- symmetry = I-42d

Unit cell a=9.6408 b=9.6408 c=4.3654 alpha=90.00 beta=90.00 gamma=90.00
Atoms (fractional coordinates):
Ti 0.0000 0.0000 0.0000
Ti 0.0000 0.5000 0.2500
Ti 0.5000 0.0000 0.7500
Ti 0.5000 0.5000 0.5000
B 0.0000 0.0000 0.5000
B 0.0000 0.5000 0.7500
B 0.5000 0.0000 0.2500
B 0.5000 0.5000 0.0000
Br 0.0758 0.7500 0.1250
Br 0.2500 0.0758 0.8750
Br 0.2500 0.4242 0.3750
Br 0.4242 0.7500 0.6250
Br 0.5758 0.2500 0.6250
Br 0.7500 0.5758 0.3750
Br 0.7500 0.9242 0.8750
Br 0.9242 0.2500 0.1250


4.
VASP calculation (GGA-PBE) on an optimized crystal structure of Ti2TlBBr.

- total energy (eV/f.u.) = -24.38
- symmetry = P4/mmm

Unit cell a=4.6597 b=4.6597 c=4.4976 alpha=90.00 beta=90.00 gamma=90.00
Atoms (fractional coordinates):
Ti 0.0000 0.5000 0.0000
Ti 0.5000 0.0000 0.0000
Tl 0.0000 0.0000 0.5000
B 0.0000 0.0000 0.0000
Br 0.5000 0.5000 0.5000


5.
VASP calculation (GGA-PBE) on an optimized crystal structure of TiBWBr2.

- total energy (eV/f.u.) = -24.05
- symmetry = P4/mmm

Unit cell a=4.5576 b=4.5576 c=4.3445 alpha=90.00 beta=90.00 gamma=90.00
Atoms (fractional coordinates):
Ti 0.0000 0.0000 0.0000
B 0.5000 0.5000 0.5000
W 0.5000 0.5000 0.0000
Br 0.0000 0.5000 0.5000
Br 0.5000 0.0000 0.5000


6.
VASP calculation (GGA-PBE) on an optimized crystal structure of Tl2B2Br7.

- distance to the lowest polymorph of the same formula (eV/atom) = 0.0170
- total energy (eV/f.u.) = -34.06
- symmetry = C2/m

Unit cell a=7.8592 b=7.8592 c=6.3871 alpha=94.67 beta=94.67 gamma=98.77
Atoms (fractional coordinates):
Tl 0.2276 0.7724 0.0000
Tl 0.7724 0.2276 0.0000
B 0.2779 0.2779 0.5574
B 0.7221 0.7221 0.4426
Br 0.1045 0.3854 0.7212
Br 0.1690 0.1690 0.2711
Br 0.3854 0.1045 0.7212
Br 0.5000 0.5000 0.5000
Br 0.6146 0.8955 0.2788
Br 0.8310 0.8310 0.7289
Br 0.8955 0.6146 0.2788


7.
VASP calculation (GGA-PBE) on an optimized crystal structure of TlBBr2.

- distance to the lowest polymorph of the same formula (eV/atom) = 0.0000
- total energy (eV/f.u.) = -10.68
- symmetry = I-42d

Unit cell a=6.5882 b=6.5882 c=13.0010 alpha=90.00 beta=90.00 gamma=90.00
Atoms (fractional coordinates):
Tl 0.0000 0.0000 0.0000
Tl 0.0000 0.5000 0.2500
Tl 0.5000 0.0000 0.7500
Tl 0.5000 0.5000 0.5000
B 0.0000 0.0000 0.5000
B 0.0000 0.5000 0.7500
B 0.5000 0.0000 0.2500
B 0.5000 0.5000 0.0000
Br 0.1329 0.2500 0.6250
Br 0.2500 0.6329 0.8750
Br 0.2500 0.8671 0.3750
Br 0.3671 0.2500 0.1250
Br 0.6329 0.7500 0.1250
Br 0.7500 0.1329 0.3750
Br 0.7500 0.3671 0.8750
Br 0.8671 0.7500 0.6250


8.
VASP calculation (GGA-PBE) on an optimized crystal structure of Tl2BBr.

- distance to the lowest polymorph of the same formula (eV/atom) = 0.6221
- total energy (eV/f.u.) = -9.72
- symmetry = Fm-3m

Unit cell a=7.5861 b=7.5861 c=7.5861 alpha=90.00 beta=90.00 gamma=90.00
Atoms (fractional coordinates):
Tl 0.2500 0.2500 0.2500
Tl 0.2500 0.2500 0.7500
Tl 0.2500 0.7500 0.2500
Tl 0.2500 0.7500 0.7500
Tl 0.7500 0.2500 0.2500
Tl 0.7500 0.2500 0.7500
Tl 0.7500 0.7500 0.2500
Tl 0.7500 0.7500 0.7500
B 0.0000 0.0000 0.0000
B 0.0000 0.5000 0.5000
B 0.5000 0.0000 0.5000
B 0.5000 0.5000 0.0000
Br 0.0000 0.0000 0.5000
Br 0.0000 0.5000 0.0000
Br 0.5000 0.0000 0.0000
Br 0.5000 0.5000 0.5000


no.,calculated volume (Å³/atom)
1,13.60
2,22.06
3,25.36
4,19.53
5,18.05
6,35.17
7,35.27
8,27.29